1.
Material: Sm6Al43V4
Method: DFT, PBE-GGA
State: relaxed

Cell: 11.034 11.034 17.804 Å, 90.00 90.00 120.00°
Fractional positions:
Sm: 0.000 0.472 0.096
Sm: 0.000 0.472 0.404
Sm: 0.000 0.528 0.596
Sm: 0.000 0.528 0.904
Sm: 0.472 0.000 0.096
Sm: 0.472 0.000 0.404
Sm: 0.472 0.472 0.596
Sm: 0.472 0.472 0.904
Sm: 0.528 0.000 0.596
Sm: 0.528 0.000 0.904
Sm: 0.528 0.528 0.096
Sm: 0.528 0.528 0.404
Al: 0.000 0.145 0.750
Al: 0.000 0.156 0.116
Al: 0.000 0.156 0.384
Al: 0.000 0.250 0.529
Al: 0.000 0.250 0.971
Al: 0.000 0.750 0.029
Al: 0.000 0.750 0.471
Al: 0.000 0.844 0.616
Al: 0.000 0.844 0.884
Al: 0.000 0.855 0.250
Al: 0.145 0.000 0.750
Al: 0.145 0.145 0.250
Al: 0.145 0.548 0.250
Al: 0.145 0.597 0.750
Al: 0.156 0.000 0.116
Al: 0.156 0.000 0.384
Al: 0.156 0.156 0.616
Al: 0.156 0.156 0.884
Al: 0.159 0.392 0.666
Al: 0.159 0.392 0.834
Al: 0.159 0.767 0.166
Al: 0.159 0.767 0.334
Al: 0.233 0.392 0.166
Al: 0.233 0.392 0.334
Al: 0.233 0.841 0.666
Al: 0.233 0.841 0.834
Al: 0.247 0.493 0.000
Al: 0.247 0.493 0.500
Al: 0.247 0.753 0.000
Al: 0.247 0.753 0.500
Al: 0.250 0.000 0.529
Al: 0.250 0.000 0.971
Al: 0.250 0.250 0.029
Al: 0.250 0.250 0.471
Al: 0.333 0.667 0.127
Al: 0.333 0.667 0.373
Al: 0.333 0.667 0.627
Al: 0.333 0.667 0.873
Al: 0.392 0.159 0.666
Al: 0.392 0.159 0.834
Al: 0.392 0.233 0.166
Al: 0.392 0.233 0.334
Al: 0.403 0.548 0.750
Al: 0.403 0.855 0.250
Al: 0.452 0.597 0.250
Al: 0.452 0.855 0.750
Al: 0.493 0.247 0.000
Al: 0.493 0.247 0.500
Al: 0.507 0.753 0.000
Al: 0.507 0.753 0.500
Al: 0.548 0.145 0.250
Al: 0.548 0.403 0.750
Al: 0.597 0.145 0.750
Al: 0.597 0.452 0.250
Al: 0.608 0.767 0.666
Al: 0.608 0.767 0.834
Al: 0.608 0.841 0.166
Al: 0.608 0.841 0.334
Al: 0.667 0.333 0.127
Al: 0.667 0.333 0.373
Al: 0.667 0.333 0.627
Al: 0.667 0.333 0.873
Al: 0.750 0.000 0.029
Al: 0.750 0.000 0.471
Al: 0.750 0.750 0.529
Al: 0.750 0.750 0.971
Al: 0.753 0.247 0.000
Al: 0.753 0.247 0.500
Al: 0.753 0.507 0.000
Al: 0.753 0.507 0.500
Al: 0.767 0.159 0.166
Al: 0.767 0.159 0.334
Al: 0.767 0.608 0.666
Al: 0.767 0.608 0.834
Al: 0.841 0.233 0.666
Al: 0.841 0.233 0.834
Al: 0.841 0.608 0.166
Al: 0.841 0.608 0.334
Al: 0.844 0.000 0.616
Al: 0.844 0.000 0.884
Al: 0.844 0.844 0.116
Al: 0.844 0.844 0.384
Al: 0.855 0.000 0.250
Al: 0.855 0.403 0.250
Al: 0.855 0.452 0.750
Al: 0.855 0.855 0.750
V: 0.000 0.000 0.000
V: 0.000 0.000 0.500
V: 0.000 0.268 0.250
V: 0.000 0.732 0.750
V: 0.268 0.000 0.250
V: 0.268 0.268 0.750
V: 0.732 0.000 0.750
V: 0.732 0.732 0.250

## Properties
Space-group type: P6_3/mcm
ΔE_f: -315 meV per atom

***

2.
Material: SmAl4V
Method: DFT, PBE-GGA
State: relaxed

Cell: 5.362 5.362 5.362 Å, 60.00 60.00 60.00°
Fractional positions:
Sm: 0.000 0.000 0.000
Al: 0.375 0.375 0.375
Al: 0.375 0.375 0.874
Al: 0.375 0.874 0.375
Al: 0.874 0.375 0.375
V: 0.750 0.750 0.750

## Properties
Space-group type: F-43m
ΔE_f: -178 meV per atom

***

3.
Material: Sm6Al39V8
Method: DFT, PBE-GGA
State: relaxed

Cell: 11.058 11.058 17.634 Å, 90.00 90.00 120.00°
Fractional positions:
Sm: 0.000 0.465 0.099
Sm: 0.000 0.465 0.401
Sm: 0.000 0.535 0.599
Sm: 0.000 0.535 0.901
Sm: 0.465 0.000 0.099
Sm: 0.465 0.000 0.401
Sm: 0.465 0.465 0.599
Sm: 0.465 0.465 0.901
Sm: 0.535 0.000 0.599
Sm: 0.535 0.000 0.901
Sm: 0.535 0.535 0.099
Sm: 0.535 0.535 0.401
Al: 0.000 0.152 0.117
Al: 0.000 0.152 0.383
Al: 0.000 0.152 0.750
Al: 0.000 0.249 0.528
Al: 0.000 0.249 0.972
Al: 0.000 0.751 0.028
Al: 0.000 0.751 0.472
Al: 0.000 0.848 0.250
Al: 0.000 0.848 0.617
Al: 0.000 0.848 0.883
Al: 0.152 0.000 0.117
Al: 0.152 0.000 0.383
Al: 0.152 0.000 0.750
Al: 0.152 0.152 0.250
Al: 0.152 0.152 0.617
Al: 0.152 0.152 0.883
Al: 0.156 0.551 0.250
Al: 0.156 0.605 0.750
Al: 0.163 0.396 0.662
Al: 0.163 0.396 0.838
Al: 0.163 0.767 0.162
Al: 0.163 0.767 0.338
Al: 0.233 0.396 0.162
Al: 0.233 0.396 0.338
Al: 0.233 0.837 0.662
Al: 0.233 0.837 0.838
Al: 0.249 0.000 0.528
Al: 0.249 0.000 0.972
Al: 0.249 0.249 0.028
Al: 0.249 0.249 0.472
Al: 0.250 0.500 0.000
Al: 0.250 0.500 0.500
Al: 0.250 0.750 0.000
Al: 0.250 0.750 0.500
Al: 0.395 0.551 0.750
Al: 0.395 0.844 0.250
Al: 0.396 0.163 0.662
Al: 0.396 0.163 0.838
Al: 0.396 0.233 0.162
Al: 0.396 0.233 0.338
Al: 0.449 0.605 0.250
Al: 0.449 0.844 0.750
Al: 0.500 0.250 0.000
Al: 0.500 0.250 0.500
Al: 0.500 0.750 0.000
Al: 0.500 0.750 0.500
Al: 0.551 0.156 0.250
Al: 0.551 0.395 0.750
Al: 0.604 0.767 0.662
Al: 0.604 0.767 0.838
Al: 0.604 0.837 0.162
Al: 0.604 0.837 0.338
Al: 0.605 0.156 0.750
Al: 0.605 0.449 0.250
Al: 0.750 0.250 0.000
Al: 0.750 0.250 0.500
Al: 0.750 0.500 0.000
Al: 0.750 0.500 0.500
Al: 0.751 0.000 0.028
Al: 0.751 0.000 0.472
Al: 0.751 0.751 0.528
Al: 0.751 0.751 0.972
Al: 0.767 0.163 0.162
Al: 0.767 0.163 0.338
Al: 0.767 0.604 0.662
Al: 0.767 0.604 0.838
Al: 0.837 0.233 0.662
Al: 0.837 0.233 0.838
Al: 0.837 0.604 0.162
Al: 0.837 0.604 0.338
Al: 0.844 0.395 0.250
Al: 0.844 0.449 0.750
Al: 0.848 0.000 0.250
Al: 0.848 0.000 0.617
Al: 0.848 0.000 0.883
Al: 0.848 0.848 0.117
Al: 0.848 0.848 0.383
Al: 0.848 0.848 0.750
V: 0.000 0.000 0.000
V: 0.000 0.000 0.500
V: 0.000 0.263 0.250
V: 0.000 0.737 0.750
V: 0.263 0.000 0.250
V: 0.263 0.263 0.750
V: 0.333 0.667 0.130
V: 0.333 0.667 0.370
V: 0.333 0.667 0.630
V: 0.333 0.667 0.870
V: 0.667 0.333 0.130
V: 0.667 0.333 0.370
V: 0.667 0.333 0.630
V: 0.667 0.333 0.870
V: 0.737 0.000 0.750
V: 0.737 0.737 0.250

## Properties
Space-group type: P6_3/mcm
ΔE_f: -306 meV per atom

***

4.
Material: SmAl2V
Method: DFT, PBE-GGA
State: relaxed

Cell: 3.007 3.007 29.419 Å, 90.00 90.00 120.00°
Fractional positions:
Sm: 0.000 0.000 0.000
Sm: 0.333 0.667 0.667
Sm: 0.667 0.333 0.333
Al: 0.000 0.000 0.238
Al: 0.000 0.000 0.762
Al: 0.333 0.667 0.429
Al: 0.333 0.667 0.904
Al: 0.667 0.333 0.096
Al: 0.667 0.333 0.571
V: 0.000 0.000 0.500
V: 0.333 0.667 0.167
V: 0.667 0.333 0.833

## Properties
Space-group type: R-3m
ΔE_f: 133 meV per atom

***

5.
Material: Sm6Al43W4
Method: DFT, PBE-GGA
State: relaxed

Cell: 11.076 11.076 17.820 Å, 90.00 90.00 120.00°
Fractional positions:
Sm: 0.000 0.470 0.095
Sm: 0.000 0.470 0.405
Sm: 0.000 0.530 0.595
Sm: 0.000 0.530 0.905
Sm: 0.470 0.000 0.095
Sm: 0.470 0.000 0.405
Sm: 0.470 0.470 0.595
Sm: 0.470 0.470 0.905
Sm: 0.530 0.000 0.595
Sm: 0.530 0.000 0.905
Sm: 0.530 0.530 0.095
Sm: 0.530 0.530 0.405
Al: 0.000 0.148 0.750
Al: 0.000 0.160 0.115
Al: 0.000 0.160 0.385
Al: 0.000 0.252 0.531
Al: 0.000 0.252 0.969
Al: 0.000 0.748 0.031
Al: 0.000 0.748 0.469
Al: 0.000 0.840 0.615
Al: 0.000 0.840 0.885
Al: 0.000 0.852 0.250
Al: 0.147 0.551 0.250
Al: 0.147 0.595 0.750
Al: 0.148 0.000 0.750
Al: 0.148 0.148 0.250
Al: 0.158 0.394 0.665
Al: 0.158 0.394 0.835
Al: 0.158 0.764 0.165
Al: 0.158 0.764 0.335
Al: 0.160 0.000 0.115
Al: 0.160 0.000 0.385
Al: 0.160 0.160 0.615
Al: 0.160 0.160 0.885
Al: 0.236 0.394 0.165
Al: 0.236 0.394 0.335
Al: 0.236 0.842 0.665
Al: 0.236 0.842 0.835
Al: 0.246 0.493 0.000
Al: 0.246 0.493 0.500
Al: 0.246 0.754 0.000
Al: 0.246 0.754 0.500
Al: 0.252 0.000 0.531
Al: 0.252 0.000 0.969
Al: 0.252 0.252 0.031
Al: 0.252 0.252 0.469
Al: 0.333 0.667 0.126
Al: 0.333 0.667 0.374
Al: 0.333 0.667 0.626
Al: 0.333 0.667 0.874
Al: 0.394 0.158 0.665
Al: 0.394 0.158 0.835
Al: 0.394 0.236 0.165
Al: 0.394 0.236 0.335
Al: 0.405 0.551 0.750
Al: 0.405 0.853 0.250
Al: 0.449 0.595 0.250
Al: 0.449 0.853 0.750
Al: 0.493 0.246 0.000
Al: 0.493 0.246 0.500
Al: 0.507 0.754 0.000
Al: 0.507 0.754 0.500
Al: 0.551 0.147 0.250
Al: 0.551 0.405 0.750
Al: 0.595 0.147 0.750
Al: 0.595 0.449 0.250
Al: 0.606 0.764 0.665
Al: 0.606 0.764 0.835
Al: 0.606 0.842 0.165
Al: 0.606 0.842 0.335
Al: 0.667 0.333 0.126
Al: 0.667 0.333 0.374
Al: 0.667 0.333 0.626
Al: 0.667 0.333 0.874
Al: 0.748 0.000 0.031
Al: 0.748 0.000 0.469
Al: 0.748 0.748 0.531
Al: 0.748 0.748 0.969
Al: 0.754 0.246 0.000
Al: 0.754 0.246 0.500
Al: 0.754 0.507 0.000
Al: 0.754 0.507 0.500
Al: 0.764 0.158 0.165
Al: 0.764 0.158 0.335
Al: 0.764 0.606 0.665
Al: 0.764 0.606 0.835
Al: 0.840 0.000 0.615
Al: 0.840 0.000 0.885
Al: 0.840 0.840 0.115
Al: 0.840 0.840 0.385
Al: 0.842 0.236 0.665
Al: 0.842 0.236 0.835
Al: 0.842 0.606 0.165
Al: 0.842 0.606 0.335
Al: 0.852 0.000 0.250
Al: 0.852 0.852 0.750
Al: 0.853 0.405 0.250
Al: 0.853 0.449 0.750
W: 0.000 0.000 0.000
W: 0.000 0.000 0.500
W: 0.000 0.269 0.250
W: 0.000 0.731 0.750
W: 0.269 0.000 0.250
W: 0.269 0.269 0.750
W: 0.731 0.000 0.750
W: 0.731 0.731 0.250

## Properties
Space-group type: P6_3/mcm
ΔE_f: -281 meV per atom

***

6.
Material: Sm3YAl2
Method: DFT, PBE-GGA
State: relaxed

Cell: 5.181 9.655 6.658 Å, 90.00 90.00 90.00°
Fractional positions:
Sm: 0.000 0.042 0.000
Sm: 0.000 0.327 0.337
Sm: 0.000 0.673 0.837
Sm: 0.000 0.958 0.500
Sm: 0.500 0.177 0.716
Sm: 0.500 0.823 0.216
Y: 0.500 0.456 0.051
Y: 0.500 0.544 0.551
Al: 0.000 0.353 0.820
Al: 0.000 0.647 0.320
Al: 0.500 0.149 0.234
Al: 0.500 0.851 0.734

## Properties
Energy above the most stable polymorph in this dataset: 0 meV/atom
Space-group type: Pmc2_1
ΔE_f: -275 meV per atom

***

7.
Material: SmY3Al2
Method: DFT, PBE-GGA
State: relaxed

Cell: 8.817 8.817 8.817 Å, 47.90 47.90 47.90°
Fractional positions:
Sm: 0.000 0.000 0.000
Sm: 0.500 0.500 0.500
Y: 0.024 0.750 0.476
Y: 0.250 0.524 0.976
Y: 0.476 0.024 0.750
Y: 0.524 0.976 0.250
Y: 0.750 0.476 0.024
Y: 0.976 0.250 0.524
Al: 0.149 0.149 0.149
Al: 0.351 0.351 0.351
Al: 0.649 0.649 0.649
Al: 0.851 0.851 0.851

## Properties
Energy above the most stable polymorph in this dataset: 375 meV/atom
Space-group type: R-3c
ΔE_f: 74 meV per atom

***

8.
Material: Sm2YAl
Method: DFT, PBE-GGA
State: relaxed

Cell: 4.736 4.753 9.948 Å, 90.00 90.00 90.00°
Fractional positions:
Sm: 0.000 0.000 0.249
Sm: 0.000 0.000 0.751
Sm: 0.500 0.500 0.251
Sm: 0.500 0.500 0.749
Y: 0.000 0.500 0.000
Y: 0.500 0.000 0.500
Al: 0.000 0.500 0.500
Al: 0.500 0.000 0.000

## Properties
Energy above the most stable polymorph in this dataset: 36 meV/atom
Space-group type: Immm
ΔE_f: -153 meV per atom